# 1
This record from Alexandria describes an optimized crystal structure of YTeSe2. The functional is PBE.

```
4
Lattice="-2.189 2.189 5.109 2.189 -2.189 5.109 2.189 2.189 -5.109" Properties=species:S:1:pos:R:3 pbc="T T T"
Y 0.000 0.000 0.000
Te 0.000 0.000 5.109
Se 2.189 0.000 2.554
Se 0.000 2.189 2.554
```

Results
Raw formation energy = -236 kJ/mol of formula units
Space-group type = I4/mmm
Total energy = -0.349 Ry per atom

---

# 2
This record from Alexandria describes an optimized crystal structure of Pr2ThCuS5. The functional is PBE.

```
18
Lattice="1.956 -8.389 0.000 1.956 8.389 0.000 0.000 0.000 12.242" Properties=species:S:1:pos:R:3 pbc="T T T"
Pr 1.956 6.477 6.121
Pr 1.956 6.408 1.884
Pr 1.956 -6.408 8.005
Pr 1.956 -6.477 0.000
Th 1.956 5.416 10.219
Th 1.956 -5.416 4.098
Cu 1.956 0.801 2.756
Cu 1.956 -0.801 8.877
S 1.956 8.149 9.997
S 1.956 3.352 6.121
S 1.956 3.060 2.038
S 1.956 2.628 10.130
S 1.956 0.145 6.808
S 1.956 -0.145 0.687
S 1.956 -2.628 4.009
S 1.956 -3.060 8.159
S 1.956 -3.352 12.242
S 1.956 -8.149 3.876
```

Results
Raw formation energy = -1491 kJ/mol of formula units
Space-group type = Cmc2_1
Total energy = -0.467 Ry per atom

---

# 3
This record from Alexandria describes an optimized crystal structure of TbPm6DySc2. The functional is PBE.

```
20
Lattice="4.541 -7.495 0.000 4.541 7.495 0.000 -1.331 0.000 9.437" Properties=species:S:1:pos:R:3 pbc="T T T"
Tb 3.543 7.053 7.078
Tb 4.208 -7.053 2.359
Pm 1.687 4.100 6.438
Pm 3.888 4.884 0.499
Pm 4.529 4.884 4.219
Pm 2.484 1.555 8.321
Pm 5.398 4.100 7.717
Pm 4.601 1.555 5.834
Pm 3.150 -1.555 3.603
Pm 2.353 -4.100 1.720
Pm 5.266 -1.555 1.115
Pm 3.222 -4.884 5.217
Pm 3.863 -4.884 8.938
Pm 6.064 -4.100 2.998
Dy 4.208 1.379 2.359
Dy 3.543 -1.379 7.078
Sc 1.516 0.737 5.178
Sc 2.182 -0.737 0.460
Sc 5.569 0.737 8.977
Sc 6.235 -0.737 4.259
```

Results
Space-group type = C2/c
Formation enthalpy at 0 K = 0.125 eV/atom
Total energy = -0.361 Ry per atom

---

# 4
This record from Alexandria describes an optimized crystal structure of La2DyGe4Pt3. The functional is PBE.

```
10
Lattice="4.364 0.000 0.000 0.000 4.364 0.000 0.000 0.000 11.250" Properties=species:S:1:pos:R:3 pbc="T T T"
La 0.000 2.182 2.599
La 2.182 0.000 8.651
Dy 0.000 0.000 5.625
Ge 0.000 0.000 0.000
Ge 0.000 2.182 7.442
Ge 2.182 0.000 3.808
Ge 2.182 2.182 0.000
Pt 0.000 2.182 9.946
Pt 2.182 0.000 1.303
Pt 2.182 2.182 5.625
```

Results
Space-group type = P-4m2
Formation enthalpy at 0 K = -0.961 eV/atom
Total energy = -0.446 Ry per atom

---

# 5
This record from Alexandria describes an optimized crystal structure of Li3P. The functional is PBE.

```
16
Lattice="5.548 0.000 0.000 -2.774 4.805 0.000 0.000 0.000 8.527" Properties=species:S:1:pos:R:3 pbc="T T T"
Li -1.387 2.403 0.000
Li -1.387 2.403 4.263
Li 0.000 1.419 2.132
Li -1.545 4.095 2.132
Li 1.229 0.710 6.395
Li 2.774 0.000 0.000
Li 2.774 0.000 4.263
Li 1.387 2.403 0.000
Li 1.387 2.403 4.263
Li 1.545 4.095 2.132
Li 4.319 0.710 6.395
Li 2.774 3.386 6.395
P 0.000 0.000 0.000
P 0.000 0.000 4.263
P 0.000 3.203 6.395
P 2.774 1.602 2.132
```

Results
Space-group type = P6_3/mmc
Formation enthalpy at 0 K = -0.487 eV/atom
Total energy = -0.241 Ry per atom

---

# 6
This record from Alexandria describes an optimized crystal structure of ZrInAg. The functional is PBE.

```
6
Lattice="5.954 -1.648 0.000 5.954 1.648 0.000 -4.836 0.000 6.531" Properties=species:S:1:pos:R:3 pbc="T T T"
Zr 0.000 0.000 0.000
Zr -0.676 0.000 4.501
In 4.178 0.000 1.971
In 2.449 0.000 4.327
Ag 7.015 0.000 2.415
Ag 8.725 0.000 0.145
```

Results
Space-group type = Cm
Formation enthalpy at 0 K = -0.111 eV/atom
Total energy = -0.355 Ry per atom

---

# 7
This record from Alexandria describes an optimized crystal structure of Li3CaPt3. The functional is PBE.

```
14
Lattice="6.507 0.000 0.000 0.000 6.507 0.000 0.000 0.000 6.507" Properties=species:S:1:pos:R:3 pbc="T T T"
Li 0.000 1.627 3.254
Li 0.000 4.880 3.254
Li 1.627 3.254 0.000
Li 3.254 0.000 1.627
Li 3.254 0.000 4.880
Li 4.880 3.254 0.000
Ca 0.000 0.000 0.000
Ca 3.254 3.254 3.254
Pt 0.000 3.254 1.627
Pt 0.000 3.254 4.880
Pt 1.627 0.000 3.254
Pt 3.254 1.627 0.000
Pt 3.254 4.880 0.000
Pt 4.880 0.000 3.254
```

Results
Space-group type = Pm-3n
Formation enthalpy at 0 K = 0.000 eV/atom
Total energy = -0.272 Ry per atom

---

# 8
This record from Alexandria describes an optimized crystal structure of Ba2AgCO. The functional is PBE.

```
5
Lattice="6.024 0.000 0.000 0.000 6.024 0.000 0.000 0.000 3.971" Properties=species:S:1:pos:R:3 pbc="T T T"
Ba 0.000 3.012 0.000
Ba 3.012 0.000 0.000
Ag 0.000 0.000 0.000
C 3.012 3.012 1.985
O 0.000 0.000 1.985
```

Results
Raw formation energy = 309 kJ/mol of formula units
Space-group type = P4/mmm
Total energy = -0.260 Ry per atom

---

# 9
This record from Alexandria describes an optimized crystal structure of Be3NbOs. The functional is PBE.

```
5
Lattice="4.091 0.000 0.000 0.000 4.091 0.000 0.000 0.000 4.091" Properties=species:S:1:pos:R:3 pbc="T T T"
Be 0.000 0.000 2.045
Be 0.000 2.045 0.000
Be 2.045 0.000 0.000
Nb 2.045 2.045 2.045
Os 0.000 0.000 0.000
```

Results
Space-group type = Pm-3m
Formation enthalpy at 0 K = 0.537 eV/atom
Distance to the lowest polymorph of the same formula = 0 meV/atom
Total energy = -0.438 Ry per atom

---

# 10
This record from Alexandria describes an optimized crystal structure of LiYBr4. The functional is PBE.

```
6
Lattice="0.000 4.497 4.497 4.497 0.000 4.497 4.497 4.497 0.000" Properties=species:S:1:pos:R:3 pbc="T T T"
Li 0.000 0.000 0.000
Y 6.746 6.746 6.746
Br 3.372 3.372 3.372
Br 5.622 5.622 3.372
Br 5.622 3.372 5.622
Br 3.372 5.622 5.622
```

Results
Raw formation energy = -47 kJ/mol of formula units
Space-group type = F-43m
Distance to the lowest polymorph of the same formula = 1667 meV/atom
Total energy = -0.191 Ry per atom

---

# 11
This record from Alexandria describes an optimized crystal structure of Sb4AsAu2. The functional is PBE.

```
14
Lattice="0.000 6.124 6.410 5.381 0.000 6.410 5.381 6.124 0.000" Properties=species:S:1:pos:R:3 pbc="T T T"
Sb 1.495 0.427 2.031
Sb 4.186 2.635 5.236
Sb 3.886 5.697 2.031
Sb 5.909 4.766 6.410
Sb 6.577 9.613 5.236
Sb 4.854 7.482 6.410
Sb 7.545 7.828 9.615
Sb 8.599 10.545 9.615
As 2.691 3.062 1.738
As 5.381 6.124 11.353
Au 8.563 5.151 5.862
Au 5.873 4.035 9.067
Au 2.200 7.097 5.862
Au 4.890 8.214 9.067
```

Results
Raw formation energy = 96 kJ/mol of formula units
Space-group type = Fdd2
Total energy = -0.280 Ry per atom

---

# 12
This record from Alexandria describes an optimized crystal structure of SrPd2Pt2. The functional is PBE.

```
10
Lattice="7.900 0.000 0.000 0.000 7.900 0.000 0.000 0.000 2.976" Properties=species:S:1:pos:R:3 pbc="T T T"
Sr 0.000 0.000 0.000
Sr 3.950 3.950 0.000
Pd 1.389 2.561 1.488
Pd 2.561 6.511 1.488
Pd 5.339 1.389 1.488
Pd 6.511 5.339 1.488
Pt 0.977 4.927 0.000
Pt 2.973 0.977 0.000
Pt 4.927 6.923 0.000
Pt 6.923 2.973 0.000
```

Results
Space-group type = P4/mbm
Formation enthalpy at 0 K = -0.281 eV/atom
Distance to the lowest polymorph of the same formula = 26 meV/atom
Total energy = -0.376 Ry per atom